Sb2WO6 | Alexandria | GGA+U | relaxed; E_tot = -119.968 eV/cell; space-group type = No. 4
1.0
5.6221 0.0000 0.0000
0.0000 5.0580 0.0000
-0.8856 0.0000 9.3436
Sb W O
4 2 12
Direct
0.1086 0.0000 0.1663
0.3907 0.1096 0.8341
0.6093 0.6096 0.1659
0.8914 0.5000 0.8337
0.2513 0.5663 0.5025
0.7487 0.0663 0.4975
0.0202 0.8174 0.5553
0.1113 0.2385 0.9407
0.2330 0.6945 0.3089
0.2658 0.4133 0.6910
0.3893 0.8728 0.0606
0.4788 0.2928 0.4444
0.5212 0.7928 0.5556
0.6107 0.3728 0.9394
0.7342 0.9133 0.3090
0.7670 0.1945 0.6911
0.8887 0.7385 0.0593
0.9798 0.3174 0.4447